1.
PBE ErZn3Ag3, relaxed; total DFT energy (no corrections) = -0.05943 Ha/atom; volume = 32.53 Å³/atom
1.0
0.000 6.106 6.106
6.106 0.000 6.106
6.106 6.106 0.000
Er Zn Ag
2 6 6
Direct
0.250 0.250 0.250
0.750 0.750 0.750
0.147 0.147 0.853
0.147 0.853 0.147
0.147 0.853 0.853
0.853 0.147 0.147
0.853 0.147 0.853
0.853 0.853 0.147
0.342 0.342 0.658
0.342 0.658 0.342
0.342 0.658 0.658
0.658 0.342 0.342
0.658 0.342 0.658
0.658 0.658 0.342

***

2.
PBE ErZnAg2, relaxed; total DFT energy (no corrections) = -0.11069 Ha/atom; volume = 20.39 Å³/atom
1.0
4.369 0.000 0.000
0.000 4.369 0.000
0.000 0.000 4.272
Er Zn Ag
1 1 2
Direct
0.000 0.000 0.000
0.500 0.500 0.000
0.000 0.500 0.500
0.500 0.000 0.500

***

3.
PBE ErZnAg3, relaxed; total DFT energy (no corrections) = -0.11331 Ha/atom; volume = 19.15 Å³/atom
1.0
6.095 0.000 0.000
0.000 4.596 0.000
-0.527 0.000 6.835
Er Zn Ag
2 2 6
Direct
0.250 0.250 0.239
0.750 0.750 0.761
0.060 0.250 0.815
0.940 0.750 0.185
0.167 0.750 0.540
0.303 0.750 0.950
0.442 0.250 0.672
0.558 0.750 0.328
0.697 0.250 0.050
0.833 0.250 0.460

***

4.
PBE Er2Zn3Ag4, relaxed; total DFT energy (no corrections) = -0.11064 Ha/atom; volume = 18.76 Å³/atom
1.0
0.000 4.607 7.007
2.615 0.000 7.007
2.615 4.607 0.000
Er Zn Ag
2 3 4
Direct
0.130 0.130 0.870
0.870 0.870 0.130
0.000 0.000 0.500
0.500 0.500 0.000
0.500 0.500 0.500
0.168 0.488 0.512
0.488 0.168 0.832
0.512 0.832 0.168
0.832 0.512 0.488

***

5.
PBE ErZn5Ag7, relaxed; total DFT energy (no corrections) = -0.09227 Ha/atom; volume = 17.44 Å³/atom
1.0
-2.618 4.631 4.676
2.618 -4.631 4.676
2.618 4.631 -4.676
Er Zn Ag
1 5 7
Direct
0.000 0.000 0.000
0.496 0.493 0.501
0.496 0.994 0.002
0.776 0.276 0.500
0.992 0.493 0.998
0.992 0.994 0.499
0.195 0.492 0.704
0.216 0.716 0.500
0.342 0.996 0.345
0.348 0.348 0.000
0.651 0.996 0.655
0.657 0.657 0.000
0.788 0.492 0.296

***

6.
PBE ErZnAg2, relaxed; total DFT energy (no corrections) = -0.11552 Ha/atom; volume = 19.90 Å³/atom
1.0
7.637 0.000 0.000
0.000 7.562 0.000
0.000 0.000 5.513
Er Zn Ag
4 4 8
Direct
0.040 0.250 0.134
0.460 0.750 0.634
0.540 0.250 0.366
0.960 0.750 0.866
0.114 0.750 0.372
0.386 0.250 0.872
0.614 0.750 0.128
0.886 0.250 0.628
0.184 0.054 0.596
0.184 0.446 0.596
0.316 0.554 0.096
0.316 0.946 0.096
0.684 0.054 0.904
0.684 0.446 0.904
0.816 0.554 0.404
0.816 0.946 0.404

***

7.
PBE Er4ZnAg3, relaxed; total DFT energy (no corrections) = -0.14151 Ha/atom; volume = 23.03 Å³/atom
1.0
3.573 0.000 0.000
0.000 3.573 0.000
0.000 0.000 14.432
Er Zn Ag
4 1 3
Direct
0.000 0.000 0.120
0.000 0.000 0.373
0.000 0.000 0.627
0.000 0.000 0.880
0.500 0.500 0.000
0.500 0.500 0.246
0.500 0.500 0.500
0.500 0.500 0.754

***

8.
PBE ErZn12Ag7, relaxed; total DFT energy (no corrections) = -0.06224 Ha/atom; volume = 22.10 Å³/atom
1.0
-4.799 4.799 4.799
4.799 -4.799 4.799
4.799 4.799 -4.799
Er Zn Ag
1 12 7
Direct
0.000 0.000 0.000
0.126 0.850 0.275
0.150 0.275 0.425
0.150 0.725 0.874
0.275 0.126 0.850
0.275 0.425 0.150
0.425 0.150 0.275
0.575 0.850 0.725
0.725 0.575 0.850
0.725 0.874 0.150
0.850 0.275 0.126
0.850 0.725 0.575
0.874 0.150 0.725
0.000 0.000 0.500
0.000 0.500 0.000
0.000 0.500 0.500
0.500 0.000 0.000
0.500 0.000 0.500
0.500 0.500 0.000
0.500 0.500 0.500

***

9.
PBE ErZn3Ag, relaxed; total DFT energy (no corrections) = -0.09134 Ha/atom; volume = 18.16 Å³/atom
1.0
5.375 0.000 0.000
0.000 5.385 0.000
-0.053 0.000 6.274
Er Zn Ag
2 6 2
Direct
0.147 0.250 0.160
0.853 0.750 0.840
0.356 0.008 0.680
0.356 0.492 0.680
0.361 0.750 0.037
0.639 0.250 0.963
0.644 0.508 0.320
0.644 0.992 0.320
0.084 0.750 0.387
0.916 0.250 0.613

***

10.
PBE ErZn3Ag, relaxed; total DFT energy (no corrections) = -0.09126 Ha/atom; volume = 18.21 Å³/atom
1.0
4.685 0.000 0.000
0.000 6.236 0.000
0.000 0.000 6.234
Er Zn Ag
2 6 2
Direct
0.000 0.000 0.000
0.500 0.500 0.500
0.000 0.196 0.500
0.000 0.500 0.790
0.000 0.804 0.500
0.500 0.000 0.290
0.500 0.304 0.000
0.500 0.696 0.000
0.000 0.500 0.195
0.500 0.000 0.695

***

11.
PBE ErZrAg4, relaxed; total DFT energy (no corrections) = -0.15663 Ha/atom; volume = 20.21 Å³/atom
1.0
3.643 0.000 0.000
0.000 3.643 0.000
0.000 0.000 9.137
Er Zr Ag
1 1 4
Direct
0.000 0.000 0.000
0.500 0.500 0.500
0.000 0.000 0.334
0.000 0.000 0.666
0.500 0.500 0.175
0.500 0.500 0.825

***

12.
PBE Er5ZrAg4, relaxed; total DFT energy (no corrections) = -0.16611 Ha/atom; volume = 24.03 Å³/atom
1.0
3.525 0.000 0.000
0.000 3.525 0.000
0.000 0.000 19.333
Er Zr Ag
5 1 4
Direct
0.000 0.000 0.000
0.000 0.000 0.193
0.000 0.000 0.385
0.000 0.000 0.615
0.000 0.000 0.807
0.500 0.500 0.500
0.500 0.500 0.095
0.500 0.500 0.288
0.500 0.500 0.712
0.500 0.500 0.905

***

13.
PBE ErZrAg2, relaxed; total DFT energy (no corrections) = -0.17735 Ha/atom; volume = 21.92 Å³/atom
1.0
3.532 0.000 0.000
0.000 3.532 0.000
0.000 0.000 7.027
Er Zr Ag
1 1 2
Direct
0.000 0.000 0.000
0.000 0.000 0.500
0.500 0.500 0.261
0.500 0.500 0.739

***

14.
PBE ErZrAg2, relaxed; total DFT energy (no corrections) = -0.17653 Ha/atom; volume = 21.96 Å³/atom
1.0
7.057 0.000 0.000
0.000 7.057 0.000
0.000 0.000 7.057
Er Zr Ag
4 4 8
Direct
0.000 0.000 0.000
0.000 0.500 0.500
0.500 0.000 0.500
0.500 0.500 0.000
0.000 0.000 0.500
0.000 0.500 0.000
0.500 0.000 0.000
0.500 0.500 0.500
0.250 0.250 0.250
0.250 0.250 0.750
0.250 0.750 0.250
0.250 0.750 0.750
0.750 0.250 0.250
0.750 0.250 0.750
0.750 0.750 0.250
0.750 0.750 0.750

***

15.
PBE Er3ZrAg2, relaxed; total DFT energy (no corrections) = -0.17803 Ha/atom; volume = 24.47 Å³/atom
1.0
3.517 0.000 0.000
0.000 3.517 0.000
0.000 0.000 11.867
Er Zr Ag
3 1 2
Direct
0.000 0.000 0.000
0.000 0.000 0.314
0.000 0.000 0.686
0.500 0.500 0.500
0.500 0.500 0.156
0.500 0.500 0.844

***

16.
PBE ErZrAg2, relaxed; total DFT energy (no corrections) = -0.17700 Ha/atom; volume = 21.86 Å³/atom
1.0
3.602 0.000 0.000
0.000 4.908 0.000
0.000 0.000 4.945
Er Zr Ag
1 1 2
Direct
0.000 0.000 0.000
0.000 0.500 0.500
0.500 0.000 0.500
0.500 0.500 0.000

***

17.
PBE EuAg5, relaxed; total DFT energy (no corrections) = -0.15149 Ha/atom; volume = 20.88 Å³/atom
1.0
4.373 0.000 0.000
0.000 13.161 0.000
0.000 0.000 4.353
Eu Ag
2 10
Direct
0.000 0.000 0.000
0.500 0.500 0.000
0.000 0.176 0.500
0.000 0.325 0.000
0.000 0.500 0.500
0.000 0.675 0.000
0.000 0.824 0.500
0.500 0.000 0.500
0.500 0.175 0.000
0.500 0.324 0.500
0.500 0.676 0.500
0.500 0.825 0.000

***

18.
PBE EuAg5, relaxed; total DFT energy (no corrections) = -0.15581 Ha/atom; volume = 21.91 Å³/atom
1.0
5.665 0.000 0.000
-2.833 4.906 0.000
0.000 0.000 4.730
Eu Ag
1 5
Direct
0.000 0.000 0.000
0.000 0.500 0.500
0.333 0.667 0.000
0.500 0.000 0.500
0.500 0.500 0.500
0.667 0.333 0.000

***

19.
PBE EuAg, relaxed; total DFT energy (no corrections) = -0.25246 Ha/atom; volume = 29.33 Å³/atom
1.0
7.932 0.000 0.000
0.000 4.768 0.000
0.000 0.000 6.205
Eu Ag
4 4
Direct
0.179 0.250 0.133
0.321 0.750 0.633
0.679 0.250 0.367
0.821 0.750 0.867
0.037 0.250 0.631
0.463 0.750 0.131
0.537 0.250 0.869
0.963 0.750 0.369

***

20.
PBE EuAg, relaxed; total DFT energy (no corrections) = -0.24609 Ha/atom; volume = 32.29 Å³/atom
1.0
6.369 0.000 0.000
0.000 6.369 0.000
0.000 0.000 6.369
Eu Ag
4 4
Direct
0.000 0.000 0.000
0.000 0.500 0.500
0.500 0.000 0.500
0.500 0.500 0.000
0.000 0.000 0.500
0.000 0.500 0.000
0.500 0.000 0.000
0.500 0.500 0.500

***

For each record above, in turn, the calculated energy of formation from the pure elements values are 0.803, -0.127, -0.205, -0.305, -0.134, -0.259, -0.341, 0.297, -0.238, -0.236, -0.176, -0.243, -0.123, -0.100, -0.188, -0.113, -0.034, -0.151, -0.307, -0.134 eV per atom.